[1]
# LiMgBe

LiMgBe after structural relaxation (PBE-GGA, Alexandria via LeMat-Bulk).

Results
For the formation energy, the calculation gives 0.13 eV per atom. For the energy above the most stable polymorph in this dataset, the calculation gives 0 meV per atom. The volume is 14.6 Å³ per atom. The total energy comes out at -2.28 eV per atom.

Cell: 4.4791 9.3375 4.1898 Å, 90.00 90.00 90.00°
Closest atoms and distances in Å follow each position.
Space group Cmcm (No. 63)
Asymmetric unit:
Li 0.0000 0.0634 0.2500 [4 per cell]  2 Li 2.41, 2 Be 2.50
Mg 0.0000 0.2636 0.7500 [4 per cell]  5 Be 2.69-2.96, 4 Li 2.76-2.81
Be 0.0000 0.4438 0.2500 [4 per cell]  2 Be 2.34, 2 Li 2.50

=====

[2]
# CsPr2Cl2F5

CsPr2Cl2F5 after structural relaxation (PBE-GGA, Alexandria via LeMat-Bulk).

Results
The volume is 19.5 Å³ per atom. The value obtained for the energy relative to the elements, uncorrected is -3.260 eV/atom. The total energy comes out at -5.61 eV per atom.

Cell: 10.3019 10.3019 3.6755 Å, 90.00 90.00 90.00°
Closest atoms and distances in Å follow each position.
Space group P4/mbm (No. 127)
Asymmetric unit:
Cs 0.0000 0.0000 0.0000 [2 per cell]  8 F 3.14
Pr 0.1281 0.3719 0.0000 [4 per cell]  6 F 2.38-2.62
Cl 0.1638 0.6638 0.0000 [4 per cell]  10 F 3.01-3.30, 3 Pr 3.03
F 0.0000 0.5000 0.5000 [2 per cell]  4 Pr 2.62, 4 F 2.86
F 0.0799 0.2338 0.5000 [8 per cell]  2 Pr 2.38

=====

[3]
# Ac4GeBr5

Ac4GeBr5 after structural relaxation (PBE-GGA, Alexandria via LeMat-Bulk).

Results
The volume is 39.5 Å³ per atom. The value obtained for the energy relative to the elements, uncorrected is -1.527 eV/atom. The total energy comes out at -4.47 eV per atom.

Cell: 19.7921 4.4661 9.1928 Å, 90.00 103.57 90.00°
Closest atoms and distances in Å follow each position.
Space group C2/m (No. 12)
Asymmetric unit:
Ac 0.0007 0.0000 0.2290 [4 per cell]  2 Ge 3.07, 4 Br 3.22-3.35
Ac 0.1560 0.5000 0.0830 [4 per cell]  1 Ge 3.00, 5 Br 3.15-3.35
Ge 0.0000 0.5000 0.0000 [2 per cell]  6 Ac 3.00-3.07
Br 0.0000 0.5000 0.5000 [2 per cell]  4 Ac 3.35
Br 0.1678 0.0000 0.3296 [4 per cell]  3 Ac 3.15-3.22
Br 0.1699 0.0000 0.8390 [4 per cell]  4 Ac 3.22-3.35

=====

[4]
# YMg14Mn

YMg14Mn after structural relaxation (PBE-GGA, Alexandria via LeMat-Bulk).

Results
For the formation energy, the calculation gives 0.04 eV per atom. For the energy above the most stable polymorph in this dataset, the calculation gives 0 meV per atom. The volume is 23.0 Å³ per atom. The total energy comes out at -2.33 eV per atom.

Cell: 10.3077 6.3091 11.3132 Å, 90.00 90.00 90.00°
Closest atoms and distances in Å follow each position.
Space group Amm2 (No. 38)
Asymmetric unit:
Y 0.0000 0.0000 0.0000 [2 per cell]  2 Mn 3.16, 10 Mg 3.19-3.26
Mg 0.0000 0.2439 0.2500 [4 per cell]  1 Mn 3.03, 8 Mg 3.08-3.24, 2 Y 3.22-3.26
Mg 0.2305 0.0000 0.6451 [4 per cell]  1 Mn 3.02, 11 Mg 3.11-3.35
Mg 0.2482 0.2472 0.4041 [8 per cell]  10 Mg 3.10-3.34, 1 Mn 3.12, 1 Y 3.20
Mg 0.2574 0.0000 0.1564 [4 per cell]  11 Mg 3.12-3.27, 1 Y 3.19
Mg 0.5000 0.0000 0.4908 [2 per cell]  12 Mg 3.15-3.28
Mg 0.5000 0.0000 0.9885 [2 per cell]  12 Mg 3.14-3.26
Mg 0.5000 0.2456 0.7392 [4 per cell]  12 Mg 3.10-3.35
Mn 0.0000 0.0000 0.4809 [2 per cell]  8 Mg 3.02-3.12, 2 Y 3.16

=====

[5]
# LiCoReAg2

LiCoReAg2 after structural relaxation (PBE-GGA, Alexandria via LeMat-Bulk).

Results
For the formation energy, the calculation gives 1.03 eV per atom. The volume is 20.7 Å³ per atom. The total energy comes out at -4.40 eV per atom.

Cell: 4.8986 4.8986 4.3129 Å, 90.00 90.00 90.00°
Closest atoms and distances in Å follow each position.
Space group P4/mmm (No. 123)
Asymmetric unit:
Li 0.0000 0.0000 0.0000 [1 per cell]  8 Ag 3.26, 4 Re 3.46
Co 0.5000 0.5000 0.5000 [1 per cell]  2 Re 2.16
Re 0.5000 0.5000 0.0000 [1 per cell]  2 Co 2.16
Ag 0.0000 0.5000 0.5000 [2 per cell]  2 Co 2.45

=====

[6]
# PmYCoRh

PmYCoRh after structural relaxation (PBE-GGA, Alexandria via LeMat-Bulk).

Results
For the formation energy, the calculation gives -0.39 eV per atom. The volume is 20.5 Å³ per atom. The total energy comes out at -6.81 eV per atom.

Cell: 6.8908 6.8908 6.8908 Å, 90.00 90.00 90.00°
Closest atoms and distances in Å follow each position.
Space group F-43m (No. 216)
Asymmetric unit:
Pm 0.0000 0.0000 0.0000 [4 per cell]  4 Co 2.98, 4 Rh 2.98
Y 0.0000 0.0000 0.5000 [4 per cell]  4 Rh 2.98, 4 Co 2.98
Co 0.2500 0.2500 0.7500 [4 per cell]  4 Pm 2.98, 4 Y 2.98
Rh 0.2500 0.2500 0.2500 [4 per cell]  4 Pm 2.98, 4 Y 2.98